A plane-wave DFT calculation with GGA-PBE was carried out for a geometry-optimized BaPt3Rh structure.

Properties
energy relative to the lowest polymorph listed for this composition: 0.000 eV per atom

a = 4.969 Å, b = 4.969 Å, c = 4.969 Å
α = 90.00°, β = 90.00°, γ = 90.00°
Sites, in units of the cell vectors:
Ba1 0.000 0.000 0.000
Pt1 0.000 0.500 0.500
Pt2 0.500 0.000 0.500
Pt3 0.500 0.500 0.000
Rh1 0.500 0.500 0.500

A plane-wave DFT calculation with GGA-PBE was carried out for a geometry-optimized BaZn2InRh structure.

Properties
VASP energy: -3.2602 eV/atom

a = 4.985 Å, b = 4.985 Å, c = 5.119 Å
α = 90.00°, β = 90.00°, γ = 90.00°
Sites, in units of the cell vectors:
Ba1 0.000 0.000 0.000
Zn1 0.000 0.500 0.500
Zn2 0.500 0.000 0.500
In1 0.500 0.500 0.000
Rh1 0.500 0.500 0.500

A plane-wave DFT calculation with GGA-PBE was carried out for a geometry-optimized Ni2MoBr structure.

Properties
energy relative to the lowest polymorph listed for this composition: 0.401 eV per atom
ΔE_f (raw): 0.733 eV per atom

a = 2.977 Å, b = 4.424 Å, c = 8.685 Å
α = 90.00°, β = 90.00°, γ = 90.00°
Sites, in units of the cell vectors:
Ni1 0.000 0.000 0.000
Ni2 0.000 0.500 0.270
Ni3 0.500 0.000 0.770
Ni4 0.500 0.500 0.500
Mo1 0.000 0.000 0.501
Mo2 0.500 0.500 0.001
Br1 0.000 0.500 0.747
Br2 0.500 0.000 0.247

A plane-wave DFT calculation with GGA-PBE was carried out for a geometry-optimized CoSn2Os2 structure.

Properties
energy relative to the lowest polymorph listed for this composition: 0.602 eV per atom

a = 4.193 Å, b = 4.193 Å, c = 11.476 Å
α = 90.00°, β = 90.00°, γ = 90.00°
Sites, in units of the cell vectors:
Co1 0.000 0.000 0.000
Co2 0.500 0.500 0.500
Sn1 0.000 0.500 0.250
Sn2 0.000 0.500 0.750
Sn3 0.500 0.000 0.250
Sn4 0.500 0.000 0.750
Os1 0.000 0.000 0.396
Os2 0.000 0.000 0.604
Os3 0.500 0.500 0.104
Os4 0.500 0.500 0.896

A plane-wave DFT calculation with GGA-PBE was carried out for a geometry-optimized RbFe2HgCl8 structure.

Properties
ΔE_f (raw): -0.923 eV per atom

a = 7.477 Å, b = 7.477 Å, c = 8.114 Å
α = 102.08°, β = 102.08°, γ = 60.54°
Sites, in units of the cell vectors:
Rb1 0.000 0.000 0.000
Fe1 0.200 0.200 0.655
Fe2 0.800 0.800 0.345
Hg1 0.500 0.500 0.500
Cl1 0.107 0.630 0.249
Cl2 0.157 0.157 0.377
Cl3 0.370 0.893 0.751
Cl4 0.378 0.378 0.738
Cl5 0.622 0.622 0.262
Cl6 0.630 0.107 0.249
Cl7 0.843 0.843 0.623
Cl8 0.893 0.370 0.751

A plane-wave DFT calculation with GGA-PBE was carried out for a geometry-optimized Mo2PtC structure.

Properties
VASP energy: -9.3069 eV/atom

a = 3.058 Å, b = 3.058 Å, c = 20.232 Å
α = 90.00°, β = 90.00°, γ = 120.00°
Sites, in units of the cell vectors:
Mo1 0.000 0.000 0.223
Mo2 0.000 0.000 0.777
Mo3 0.333 0.667 0.444
Mo4 0.333 0.667 0.889
Mo5 0.667 0.333 0.111
Mo6 0.667 0.333 0.556
Pt1 0.000 0.000 0.000
Pt2 0.333 0.667 0.667
Pt3 0.667 0.333 0.333
C1 0.000 0.000 0.500
C2 0.333 0.667 0.167
C3 0.667 0.333 0.833

A plane-wave DFT calculation with GGA-PBE was carried out for a geometry-optimized Pr3Tl2Bi structure.

Properties
VASP energy: -4.2485 eV/atom

a = 8.454 Å, b = 8.454 Å, c = 8.512 Å
α = 104.62°, β = 104.62°, γ = 45.25°
Sites, in units of the cell vectors:
Pr1 0.001 0.999 0.750
Pr2 0.340 0.342 0.420
Pr3 0.342 0.340 0.920
Pr4 0.658 0.660 0.080
Pr5 0.660 0.658 0.580
Pr6 0.999 0.001 0.250
Tl1 0.172 0.174 0.086
Tl2 0.174 0.172 0.586
Tl3 0.826 0.828 0.414
Tl4 0.828 0.826 0.914
Bi1 0.499 0.501 0.250
Bi2 0.501 0.499 0.750

A plane-wave DFT calculation with GGA-PBE was carried out for a geometry-optimized ZnN2ClF structure.

Properties
energy relative to the lowest polymorph listed for this composition: 0.382 eV per atom
ΔE_f (raw): 1.575 eV per atom

a = 3.562 Å, b = 3.562 Å, c = 5.279 Å
α = 90.00°, β = 90.00°, γ = 90.00°
Sites, in units of the cell vectors:
Zn1 0.000 0.000 0.000
N1 0.000 0.500 0.500
N2 0.500 0.000 0.500
Cl1 0.500 0.500 0.500
F1 0.500 0.500 0.000

A plane-wave DFT calculation with GGA-PBE was carried out for a geometry-optimized Ta2ReMo structure.

Properties
energy relative to the lowest polymorph listed for this composition: 0.148 eV per atom

a = 5.616 Å, b = 8.950 Å, c = 2.818 Å
α = 90.00°, β = 110.28°, γ = 90.00°
Sites, in units of the cell vectors:
Ta1 0.250 0.250 0.000
Ta2 0.250 0.750 0.000
Ta3 0.750 0.250 0.000
Ta4 0.750 0.750 0.000
Re1 0.000 0.000 0.500
Re2 0.500 0.500 0.500
Mo1 0.000 0.500 0.500
Mo2 0.500 0.000 0.500

A plane-wave DFT calculation with GGA-PBE was carried out for a geometry-optimized CrTe3Pd structure.

Properties
energy relative to the lowest polymorph listed for this composition: 0.070 eV per atom
ΔE_f (raw): -0.142 eV per atom

a = 5.469 Å, b = 3.956 Å, c = 6.382 Å
α = 90.00°, β = 112.76°, γ = 90.00°
Sites, in units of the cell vectors:
Cr1 0.000 0.000 0.000
Te1 0.137 0.500 0.304
Te2 0.478 0.000 0.945
Te3 0.798 0.000 0.551
Pd1 0.588 0.500 0.708

A plane-wave DFT calculation with GGA-PBE was carried out for a geometry-optimized La2HoHg2 structure.

Properties
energy relative to the lowest polymorph listed for this composition: 0.046 eV per atom

a = 4.051 Å, b = 7.447 Å, c = 10.367 Å
α = 90.00°, β = 90.00°, γ = 90.00°
Sites, in units of the cell vectors:
La1 0.000 0.000 0.211
La2 0.000 0.000 0.789
La3 0.500 0.500 0.289
La4 0.500 0.500 0.711
Ho1 0.000 0.500 0.000
Ho2 0.500 0.000 0.500
Hg1 0.000 0.295 0.500
Hg2 0.000 0.705 0.500
Hg3 0.500 0.205 0.000
Hg4 0.500 0.795 0.000

A plane-wave DFT calculation with GGA-PBE was carried out for a geometry-optimized TmAgH8Ir2 structure.

Properties
VASP energy: -4.4220 eV/atom

a = 4.835 Å, b = 4.835 Å, c = 5.927 Å
α = 109.18°, β = 109.18°, γ = 53.28°
Sites, in units of the cell vectors:
Tm1 0.000 0.000 0.000
Ag1 0.500 0.500 0.500
H1 0.071 0.570 0.162
H2 0.229 0.229 0.380
H3 0.418 0.418 0.865
H4 0.430 0.929 0.838
H5 0.570 0.071 0.162
H6 0.582 0.582 0.135
H7 0.771 0.771 0.620
H8 0.929 0.430 0.838
Ir1 0.223 0.223 0.665
Ir2 0.777 0.777 0.335

A plane-wave DFT calculation with GGA-PBE was carried out for a geometry-optimized Ba2VAu structure.

Properties
energy relative to the lowest polymorph listed for this composition: 0.194 eV per atom

a = 9.019 Å, b = 9.019 Å, c = 7.059 Å
α = 90.00°, β = 90.00°, γ = 90.00°
Sites, in units of the cell vectors:
Ba1 0.229 0.750 0.125
Ba2 0.250 0.229 0.875
Ba3 0.250 0.271 0.375
Ba4 0.271 0.750 0.625
Ba5 0.729 0.250 0.625
Ba6 0.750 0.729 0.375
Ba7 0.750 0.771 0.875
Ba8 0.771 0.250 0.125
V1 0.000 0.000 0.500
V2 0.000 0.500 0.750
V3 0.500 0.000 0.250
V4 0.500 0.500 0.000
Au1 0.000 0.000 0.000
Au2 0.000 0.500 0.250
Au3 0.500 0.000 0.750
Au4 0.500 0.500 0.500

A plane-wave DFT calculation with GGA-PBE was carried out for a geometry-optimized FeWAu2 structure.

Properties
energy relative to the lowest polymorph listed for this composition: 0.175 eV per atom

a = 5.769 Å, b = 8.208 Å, c = 2.732 Å
α = 90.00°, β = 90.00°, γ = 90.00°
Sites, in units of the cell vectors:
Fe1 0.000 0.000 0.000
Fe2 0.500 0.500 0.000
W1 0.000 0.500 0.000
W2 0.500 0.000 0.000
Au1 0.250 0.250 0.500
Au2 0.250 0.750 0.500
Au3 0.750 0.250 0.500
Au4 0.750 0.750 0.500

A plane-wave DFT calculation with GGA-PBE was carried out for a geometry-optimized CrSnCl3 structure.

Properties
energy relative to the lowest polymorph listed for this composition: 0.000 eV per atom
ΔE_f (raw): -0.548 eV per atom

a = 4.933 Å, b = 4.933 Å, c = 4.933 Å
α = 90.00°, β = 90.00°, γ = 90.00°
Sites, in units of the cell vectors:
Cr1 0.000 0.000 0.000
Sn1 0.500 0.500 0.500
Cl1 0.000 0.000 0.500
Cl2 0.000 0.500 0.000
Cl3 0.500 0.000 0.000

A plane-wave DFT calculation with GGA-PBE was carried out for a geometry-optimized In2IrPt structure.

Properties
energy relative to the lowest polymorph listed for this composition: 0.007 eV per atom

a = 3.130 Å, b = 3.704 Å, c = 6.083 Å
α = 90.00°, β = 90.28°, γ = 90.00°
Sites, in units of the cell vectors:
In1 0.000 0.000 0.246
In2 0.000 0.000 0.754
Ir1 0.500 0.500 0.000
Pt1 0.500 0.500 0.500

A plane-wave DFT calculation with GGA-PBE was carried out for a geometry-optimized Mg2Co2Cl structure.

Properties
ΔE_f (raw): -0.141 eV per atom

a = 3.326 Å, b = 3.326 Å, c = 16.160 Å
α = 90.00°, β = 90.00°, γ = 90.00°
Sites, in units of the cell vectors:
Mg1 0.000 0.000 0.123
Mg2 0.000 0.000 0.877
Mg3 0.500 0.500 0.377
Mg4 0.500 0.500 0.623
Co1 0.000 0.500 0.250
Co2 0.000 0.500 0.750
Co3 0.500 0.000 0.250
Co4 0.500 0.000 0.750
Cl1 0.000 0.000 0.500
Cl2 0.500 0.500 0.000

A plane-wave DFT calculation with GGA-PBE was carried out for a geometry-optimized ErTi4Rh5 structure.

Properties
VASP energy: -8.0636 eV/atom

a = 3.117 Å, b = 3.117 Å, c = 16.408 Å
α = 90.00°, β = 90.00°, γ = 90.00°
Sites, in units of the cell vectors:
Er1 0.000 0.000 0.000
Ti1 0.000 0.000 0.215
Ti2 0.000 0.000 0.406
Ti3 0.000 0.000 0.594
Ti4 0.000 0.000 0.785
Rh1 0.500 0.500 0.128
Rh2 0.500 0.500 0.314
Rh3 0.500 0.500 0.500
Rh4 0.500 0.500 0.686
Rh5 0.500 0.500 0.872

A plane-wave DFT calculation with GGA-PBE was carried out for a geometry-optimized BaTl2Cd structure.

Properties
VASP energy: -2.1705 eV/atom

a = 8.833 Å, b = 5.092 Å, c = 6.705 Å
α = 90.00°, β = 115.97°, γ = 90.00°
Sites, in units of the cell vectors:
Ba1 0.000 0.000 0.000
Ba2 0.500 0.500 0.000
Tl1 0.222 0.000 0.664
Tl2 0.278 0.500 0.336
Tl3 0.722 0.500 0.664
Tl4 0.778 0.000 0.336
Cd1 0.000 0.500 0.500
Cd2 0.500 0.000 0.500

A plane-wave DFT calculation with GGA-PBE was carried out for a geometry-optimized Ba3CN3 structure.

Properties
ΔE_f (raw): -0.473 eV per atom

a = 8.887 Å, b = 8.887 Å, c = 4.855 Å
α = 90.00°, β = 90.00°, γ = 120.00°
Sites, in units of the cell vectors:
Ba1 0.043 0.360 0.250
Ba2 0.317 0.957 0.250
Ba3 0.360 0.317 0.750
Ba4 0.640 0.683 0.250
Ba5 0.683 0.043 0.750
Ba6 0.957 0.640 0.750
C1 0.333 0.667 0.750
C2 0.667 0.333 0.250
N1 0.181 0.505 0.750
N2 0.323 0.819 0.750
N3 0.495 0.677 0.750
N4 0.505 0.323 0.250
N5 0.677 0.181 0.250
N6 0.819 0.495 0.250

A plane-wave DFT calculation with GGA-PBE was carried out for a geometry-optimized Tm6GaNi2 structure.

Properties
VASP energy: -5.0020 eV/atom

a = 8.193 Å, b = 8.193 Å, c = 8.193 Å
α = 112.15°, β = 109.92°, γ = 106.39°
Sites, in units of the cell vectors:
Tm1 0.041 0.237 0.804
Tm2 0.181 0.283 0.464
Tm3 0.181 0.717 0.898
Tm4 0.327 0.021 0.694
Tm5 0.327 0.632 0.306
Tm6 0.434 0.237 0.196
Tm7 0.566 0.763 0.804
Tm8 0.673 0.368 0.694
Tm9 0.673 0.979 0.306
Tm10 0.819 0.283 0.102
Tm11 0.819 0.717 0.536
Tm12 0.959 0.763 0.196
Ga1 0.000 0.000 0.000
Ga2 0.500 0.500 0.000
Ni1 0.122 0.622 0.500
Ni2 0.347 0.000 0.347
Ni3 0.653 0.000 0.653
Ni4 0.878 0.378 0.500

A plane-wave DFT calculation with GGA-PBE was carried out for a geometry-optimized Pr2PuSc structure.

Properties
energy relative to the lowest polymorph listed for this composition: 0.051 eV per atom

a = 5.762 Å, b = 5.762 Å, c = 3.689 Å
α = 90.00°, β = 90.00°, γ = 90.00°
Sites, in units of the cell vectors:
Pr1 0.000 0.500 0.000
Pr2 0.500 0.000 0.000
Pu1 0.000 0.000 0.500
Sc1 0.500 0.500 0.500

A plane-wave DFT calculation with GGA-PBE was carried out for a geometry-optimized ZrW4 structure.

Properties
energy relative to the lowest polymorph listed for this composition: 2.780 eV per atom

a = 4.710 Å, b = 4.710 Å, c = 4.710 Å
α = 90.00°, β = 90.00°, γ = 90.00°
Sites, in units of the cell vectors:
Zr1 0.000 0.000 0.000
W1 0.000 0.000 0.500
W2 0.000 0.500 0.000
W3 0.500 0.000 0.000
W4 0.500 0.500 0.500

A plane-wave DFT calculation with GGA-PBE was carried out for a geometry-optimized AlCd3 structure.

Properties
VASP energy: -1.5261 eV/atom

a = 2.956 Å, b = 4.316 Å, c = 6.707 Å
α = 90.00°, β = 91.32°, γ = 90.00°
Sites, in units of the cell vectors:
Al1 0.000 0.000 0.000
Cd1 0.000 0.000 0.500
Cd2 0.499 0.500 0.241
Cd3 0.501 0.500 0.759

A plane-wave DFT calculation with GGA-PBE was carried out for a geometry-optimized Be2PdAu structure.

Properties
VASP energy: -3.6162 eV/atom

a = 2.739 Å, b = 4.693 Å, c = 9.139 Å
α = 90.00°, β = 90.00°, γ = 90.00°
Sites, in units of the cell vectors:
Be1 0.000 0.000 0.245
Be2 0.000 0.000 0.755
Be3 0.500 0.500 0.255
Be4 0.500 0.500 0.745
Pd1 0.000 0.000 0.000
Pd2 0.500 0.500 0.500
Au1 0.000 0.000 0.500
Au2 0.500 0.500 0.000

A plane-wave DFT calculation with GGA-PBE was carried out for a geometry-optimized Mg4SiIr structure.

Properties
ΔE_f (raw): 0.336 eV per atom

a = 5.348 Å, b = 5.348 Å, c = 5.348 Å
α = 60.00°, β = 60.00°, γ = 60.00°
Sites, in units of the cell vectors:
Mg1 0.125 0.125 0.125
Mg2 0.125 0.125 0.624
Mg3 0.125 0.624 0.125
Mg4 0.624 0.125 0.125
Si1 0.750 0.750 0.750
Ir1 0.500 0.500 0.500

Number 1: magnetic moment 0.434 μB per atom. Number 2: magnetic moment 0.000 μB per atom. Number 3: magnetic moment 0.000 μB per atom. Number 4: magnetic moment 0.471 μB per atom. Number 5: magnetic moment 0.750 μB per atom. Number 6: magnetic moment 0.000 μB per atom. Number 7: magnetic moment 0.000 μB per atom. Number 8: magnetic moment 0.118 μB per atom. Number 9: magnetic moment 0.000 μB per atom. Number 10: magnetic moment 0.515 μB per atom. Number 11: magnetic moment 0.000 μB per atom. Number 12: magnetic moment 0.000 μB per atom. Number 13: magnetic moment 1.122 μB per atom. Number 14: magnetic moment 0.696 μB per atom. Number 15: magnetic moment 0.708 μB per atom. Number 16: magnetic moment 0.000 μB per atom. Number 17: magnetic moment 0.638 μB per atom. Number 18: magnetic moment 0.000 μB per atom. Number 19: magnetic moment 0.000 μB per atom. Number 20: magnetic moment 0.000 μB per atom. Number 21: magnetic moment 0.000 μB per atom. Number 22: magnetic moment 1.751 μB per atom. Number 23: magnetic moment 0.000 μB per atom. Number 24: magnetic moment 0.000 μB per atom. Number 25: magnetic moment 0.000 μB per atom. Number 26: magnetic moment 0.000 μB per atom.